LaGe3Ru3 | GGA-PBE | relaxed

The space group is R-3. The energy above the most stable polymorph in this dataset is 0.0 meV per atom. Its theoretical density is 7690 kg/m³. Its density of states at the Fermi level is 0.82 states/eV per atom.

Lattice parameters (Å, degrees): 8.180 8.180 8.180 48.87 48.87 48.87
Fractional positions:
1 La 0.172 0.172 0.172
2 La 0.828 0.828 0.828
3 Ge 0.167 0.346 0.698
4 Ge 0.302 0.833 0.654
5 Ge 0.346 0.698 0.167
6 Ge 0.654 0.302 0.833
7 Ge 0.698 0.167 0.346
8 Ge 0.833 0.654 0.302
9 Ru 0.057 0.268 0.543
10 Ru 0.268 0.543 0.057
11 Ru 0.457 0.943 0.732
12 Ru 0.543 0.057 0.268
13 Ru 0.732 0.457 0.943
14 Ru 0.943 0.732 0.457